The following is a DFT calculation (PBE) of an optimized crystal structure of Cd4Te5Pb.

Computed properties:
* symmetry: Imm2, No. 44
* E: -27.1 eV per formula unit
* crystal system: orthorhombic
* size of the total moment: 0.000 μB per atom

Cell: 12.8195 12.8195 12.8195 Å, 158.86 149.56 37.36°
With the nearest neighbours (Å) after each atom.
Fractional positions:
Cd 0.7874 0.7944 0.9929  4 Te 2.86-2.88
Cd 0.6072 0.6066 0.0006  4 Te 2.86-2.91
Te 0.6313 0.8895 0.7418  3 Cd 2.86, 1 Pb 3.20
Cd 0.1985 0.2056 0.9929  4 Te 2.86-2.88
Te 0.0386 0.3002 0.7384  4 Cd 2.87-2.88
Pb 0.9997 0.0000 0.9997  4 Te 3.11-3.20
Te 0.8523 0.1105 0.7418  3 Cd 2.86, 1 Pb 3.20
Te 0.3026 0.5000 0.8026  2 Cd 2.91, 2 Pb 3.11
Te 0.4383 0.6998 0.7384  4 Cd 2.87-2.88
Cd 0.3940 0.3934 0.0006  4 Te 2.86-2.91



The following is a DFT calculation (PBE) of an optimized crystal structure of CdTe4Pb3.

Computed properties:
* symmetry: P4/mmm, No. 123
* E: -27.5 eV per formula unit
* crystal system: tetragonal
* size of the total moment: 0.000 μB per atom

Cell: 4.5841 4.5841 12.8338 Å, 90.00 90.00 90.00°
With the nearest neighbours (Å) after each atom.
Fractional positions:
Te 0.0000 0.0000 0.2382  1 Cd 3.06, 5 Pb 3.24-3.36
Cd 0.0000 0.0000 0.0000  6 Te 3.06-3.24
Pb 0.5000 0.5000 0.2457  6 Te 3.15-3.26
Te 0.5000 0.5000 0.0000  2 Pb 3.15, 4 Cd 3.24
Pb 0.5000 0.5000 0.7543  6 Te 3.15-3.26
Te 0.5000 0.5000 0.5000  6 Pb 3.24-3.26
Te 0.0000 0.0000 0.7618  1 Cd 3.06, 5 Pb 3.24-3.36
Pb 0.0000 0.0000 0.5000  6 Te 3.24-3.36



The following is a DFT calculation (PBE) of an optimized crystal structure of CdTePb4.

Computed properties:
* symmetry: F-43m, No. 216
* E: -17.8 eV per formula unit
* crystal system: cubic
* size of the total moment: 0.000 μB per atom

Cell: 6.5153 6.5153 6.5153 Å, 60.00 60.00 60.00°
With the nearest neighbours (Å) after each atom.
Fractional positions:
Pb 0.3744 0.3744 0.3744  6 Pb 3.24-3.27
Pb 0.8767 0.3744 0.3744  6 Pb 3.24-3.27
Te 0.7500 0.7500 0.7500  12 Pb 3.82, 4 Cd 3.99
Cd 0.0000 0.0000 0.0000  12 Pb 3.82, 4 Te 3.99
Pb 0.3744 0.3744 0.8767  6 Pb 3.24-3.27
Pb 0.3744 0.8767 0.3744  6 Pb 3.24-3.27